Li3FeSiCO7: relaxed, GGA+U.

Computed properties:
Crystal system: monoclinic
Total energy, eV per atom: -6.7081
Spin magnetization, μB/f.u.: 5.00
Density, g/cm3: 2.79
SG: P2_1/m (11)

Unit cell a=6.4410 b=5.0540 c=8.3900 alpha=85.45 beta=90.00 gamma=90.00
With the nearest neighbours (Å) after each atom.
Atoms (fractional coordinates):
Li1 0.2500 0.2221 0.8909  4 O 1.95-2.11
Li2 0.0259 0.7510 0.7213  4 O 2.08-2.19
Li3 0.4741 0.7510 0.7213  4 O 2.08-2.19
Li4 0.5259 0.2490 0.2787  4 O 2.08-2.19
Li5 0.9741 0.2490 0.2787  4 O 2.08-2.19
Li6 0.7500 0.7779 0.1091  4 O 1.95-2.11
Fe1 0.7500 0.2012 0.6644  5 O 1.98-2.13
Fe2 0.2500 0.7988 0.3356  5 O 1.98-2.13
Si1 0.2500 0.2791 0.5799  4 O 1.63-1.66
Si2 0.7500 0.7209 0.4201  4 O 1.63-1.66
C1 0.7500 0.2998 0.9650  3 O 1.29-1.31
C2 0.2500 0.7002 0.0350  3 O 1.29-1.31
O1 0.2500 0.6278 0.8906  1 C 1.29
O2 0.7500 0.0532 0.9333  1 C 1.29
O3 0.7500 0.4782 0.8433  1 C 1.31
O4 0.0543 0.1747 0.6941  1 Si 1.64
O5 0.4457 0.1747 0.6941  1 Si 1.64
O6 0.2500 0.6080 0.5521  1 Si 1.66
O7 0.7500 0.8350 0.5968  1 Si 1.63
O8 0.2500 0.1650 0.4032  1 Si 1.63
O9 0.7500 0.3920 0.4479  1 Si 1.66
O10 0.5543 0.8253 0.3059  1 Si 1.64
O11 0.9457 0.8253 0.3059  1 Si 1.64
O12 0.2500 0.5218 0.1567  1 C 1.31
O13 0.2500 0.9468 0.0667  1 C 1.29
O14 0.7500 0.3722 0.1094  1 C 1.29